one | A plane-wave DFT calculation with GGA-PBE was carried out for crystalline La2TcIr at its relaxed geometry.

Computed properties:
Total magnetization: 0.00 μB per atom
SG: Amm2, No. 38

a = 4.580 Å, b = 4.654 Å, c = 5.493 Å
α = 64.96°, β = 90.00°, γ = 90.00°
Element x y z (fractional)
La: 0.000 0.979 0.917
La: 0.500 0.276 0.323
Tc: 0.000 0.668 0.539
Ir: 0.500 0.578 0.720



two | A plane-wave DFT calculation with GGA-PBE was carried out for crystalline La2TcIr at its relaxed geometry.

Computed properties:
Total magnetization: 0.00 μB per atom
SG: Fm-3m, No. 225

a = 5.060 Å, b = 5.060 Å, c = 5.060 Å
α = 60.00°, β = 60.00°, γ = 60.00°
Element x y z (fractional)
Ir: 0.500 0.500 0.500
Tc: 0.000 0.000 0.000
La: 0.250 0.250 0.250
La: 0.750 0.750 0.750



Of the structures shown above, two is the least stable.